Computed, not measured: crystalline GaPtS3 at its relaxed geometry at the GGA-PBE level of DFT.

Results
The value obtained for the theoretical density is 5.5 Mg/m³. For the formation energy from raw total energies, the calculation gives 416 meV per atom. Its spin magnetization is 1.75 μB per formula unit. For the density of states at the Fermi level, the calculation gives 6.64 states/eV/f.u. The value obtained for the polymorph energy (0 for the lowest one) is 0.0 meV/atom.

a b c (Å): 4.7723 4.7723 4.7723
angles (deg): 90.00 90.00 90.00
Element x y z (fractional)
Ga  0.0000  0.0000  0.0000
Pt  0.5000  0.5000  0.5000
S  0.0000  0.5000  0.5000
S  0.5000  0.0000  0.5000
S  0.5000  0.5000  0.0000


Computed, not measured: crystalline In3Pd2Au2 at its relaxed geometry at the GGA-PBE level of DFT.

Results
The value obtained for the theoretical density is 11.8 Mg/m³. Its spin magnetization is 0.00 μB per formula unit. For the density of states at the Fermi level, the calculation gives 1.84 states/eV/f.u. The value obtained for the energy of formation from the pure elements is -28.2 kJ per mole of atoms.

a b c (Å): 11.4632 11.4632 3.2539
angles (deg): 90.00 90.00 161.73
Element x y z (fractional)
In  0.0000  0.0000  0.0000
In  0.1378  0.8622  0.0000
In  0.8622  0.1378  0.0000
Pd  0.4320  0.5680  0.5000
Pd  0.5680  0.4320  0.5000
Au  0.2963  0.7037  0.5000
Au  0.7037  0.2963  0.5000


Computed, not measured: crystalline YCd2Os at its relaxed geometry at the GGA-PBE level of DFT.

Results
The value obtained for the theoretical density is 10.2 Mg/m³. Its spin magnetization is 0.00 μB per formula unit. For the density of states at the Fermi level, the calculation gives 3.08 states/eV/f.u. The value obtained for the energy of formation from the pure elements is 11.5 kJ per mole of atoms.

a b c (Å): 4.1589 4.1589 4.7393
angles (deg): 90.00 90.00 90.00
Element x y z (fractional)
Y  0.0000  0.0000  0.0000
Cd  0.0000  0.5000  0.5000
Cd  0.5000  0.0000  0.5000
Os  0.5000  0.5000  0.0000


Computed, not measured: crystalline ZnRhClO2 at its relaxed geometry at the GGA-PBE level of DFT.

Results
The value obtained for the theoretical density is 5.1 Mg/m³. For the formation energy from raw total energies, the calculation gives 204 meV per atom. Its spin magnetization is 3.23 μB per formula unit. For the density of states at the Fermi level, the calculation gives 5.09 states/eV/f.u.

a b c (Å): 3.7617 3.7617 5.4523
angles (deg): 90.00 90.00 90.00
Element x y z (fractional)
Zn  0.0000  0.0000  0.0000
Rh  0.5000  0.5000  0.5000
Cl  0.0000  0.0000  0.5000
O  0.0000  0.5000  0.0000
O  0.5000  0.0000  0.0000


Computed, not measured: crystalline Pu2TiPb at its relaxed geometry at the GGA-PBE level of DFT.

Results
The value obtained for the theoretical density is 13.3 Mg/m³. Its spin magnetization is 10.82 μB per formula unit. For the density of states at the Fermi level, the calculation gives 10.71 states/eV/f.u. The value obtained for the polymorph energy (0 for the lowest one) is 0.0 meV/atom. The value obtained for the energy of formation from the pure elements is 1.5 kJ per mole of atoms.

a b c (Å): 4.3579 4.3579 4.8988
angles (deg): 90.00 90.00 90.00
Element x y z (fractional)
Pu  0.0000  0.5000  0.0000
Pu  0.5000  0.0000  0.0000
Ti  0.0000  0.0000  0.5000
Pb  0.5000  0.5000  0.5000


Computed, not measured: crystalline LiCuGe at its relaxed geometry at the GGA-PBE level of DFT.

Results
The value obtained for the theoretical density is 5.7 Mg/m³. Its spin magnetization is 0.00 μB per formula unit. For the density of states at the Fermi level, the calculation gives 0.98 states/eV/f.u. The value obtained for the energy of formation from the pure elements is -13.4 kJ per mole of atoms.

a b c (Å): 4.6014 4.6014 4.6014
angles (deg): 138.91 138.91 59.51
Element x y z (fractional)
Li  0.0000  0.0000  0.0000
Cu  0.3364  0.3364  0.0000
Ge  0.6755  0.6755  0.0000


Computed, not measured: crystalline CeNd2Th4 at its relaxed geometry at the GGA-PBE level of DFT.

Results
The value obtained for the theoretical density is 9.9 Mg/m³. Its spin magnetization is 0.00 μB per formula unit. For the density of states at the Fermi level, the calculation gives 12.78 states/eV/f.u. The value obtained for the energy of formation from the pure elements is 6.3 kJ per mole of atoms.

a b c (Å): 18.2304 18.2304 3.5487
angles (deg): 90.00 90.00 168.83
Element x y z (fractional)
Ce  0.0000  0.0000  0.0000
Nd  0.2941  0.7059  0.5000
Nd  0.7059  0.2941  0.5000
Th  0.1350  0.8650  0.0000
Th  0.4331  0.5669  0.5000
Th  0.5669  0.4331  0.5000
Th  0.8650  0.1350  0.0000


Computed, not measured: crystalline Ba2CeTlO5 at its relaxed geometry at the GGA-PBE level of DFT.

Results
The value obtained for the theoretical density is 7.1 Mg/m³. For the formation energy from raw total energies, the calculation gives -2370 meV per atom. Its spin magnetization is 0.00 μB per formula unit. For the density of states at the Fermi level, the calculation gives 1.72 states/eV/f.u.

a b c (Å): 8.8113 8.8113 10.2969
angles (deg): 90.00 90.00 155.94
Element x y z (fractional)
Ba  0.1210  0.8790  0.5000
Ba  0.1209  0.8791  0.9232
Ba  0.8790  0.1210  0.0000
Ba  0.8791  0.1209  0.4232
Ce  0.2275  0.7725  0.2117
Ce  0.7725  0.2275  0.7117
Tl  0.4842  0.5158  0.7112
Tl  0.5158  0.4842  0.2112
O  0.0959  0.9041  0.2123
O  0.2809  0.7191  0.5763
O  0.2807  0.7193  0.8470
O  0.3553  0.6447  0.2116
O  0.4999  0.5001  0.4627
O  0.5001  0.4999  0.9627
O  0.6447  0.3553  0.7116
O  0.7191  0.2809  0.0763
O  0.7193  0.2807  0.3470
O  0.9041  0.0959  0.7123


> spin magnetization of number 7 (CeNd2Th4)?

0.00 μB per formula unit